No. 1
## CaCoTcN3 (PBE)

Data for crystalline CaCoTcN3 at its relaxed geometry.

Unit cell a=2.9849 b=6.6059 c=7.6777 alpha=104.80 beta=90.00 gamma=90.00
Last column: magnetic moment on the atom in μB.
Fractional positions:
N 0.7500 0.1712 0.4786  0.07
N 0.2500 0.5633 0.8408  0.01
N 0.7500 0.4367 0.1592  0.01
N 0.7500 0.8696 0.1440  0.01
N 0.2500 0.8288 0.5214  0.07
N 0.2500 0.1304 0.8560  0.01
Tc 0.2500 0.6428 0.1128  -0.05
Tc 0.7500 0.3572 0.8872  -0.05
Co 0.7500 0.8660 0.3947  0.50
Co 0.2500 0.1340 0.6053  0.50
Ca 0.2500 0.1801 0.2164  0.01
Ca 0.7500 0.8199 0.7836  0.01

- E_form (uncorrected): -158 kJ/mol of formula units


No. 2
## CaZnRe2Tc (PBE)

Data for crystalline CaZnRe2Tc at its relaxed geometry.

Unit cell a=4.6850 b=5.2865 c=4.6850 alpha=90.00 beta=90.00 gamma=90.00
Fractional positions:
Tc 0.0000 0.0000 0.0000
Re 0.0000 0.0000 0.5000
Re 0.5000 0.0000 0.0000
Ca 0.0000 0.5000 0.0000
Zn 0.5000 0.5000 0.5000

- VASP energy: -30.86 eV for the cell shown


No. 3
## Nd2Zn3InPd4 (PBE)

Data for crystalline Nd2Zn3InPd4 at its relaxed geometry.

Unit cell a=4.2554 b=4.2554 c=11.0551 alpha=90.00 beta=90.00 gamma=90.00
Fractional positions:
In 0.5000 0.5000 0.5000
Zn 0.5000 0.0000 0.8732
Zn 0.0000 0.0000 0.5000
Zn 0.0000 0.5000 0.1268
Nd 0.0000 0.5000 0.7606
Nd 0.5000 0.0000 0.2394
Pd 0.0000 0.0000 0.0000
Pd 0.0000 0.5000 0.3511
Pd 0.5000 0.0000 0.6489
Pd 0.5000 0.5000 0.0000

- VASP energy: -42.95 eV for the cell shown


No. 4
## BaLi2Mn (PBE)

Data for crystalline BaLi2Mn at its relaxed geometry.

Unit cell a=3.7544 b=3.7544 c=7.6655 alpha=90.00 beta=90.00 gamma=90.00
Last column: magnetic moment on the atom in μB.
Fractional positions:
Li 0.0000 0.0000 0.0780  -0.02
Li 0.0000 0.0000 0.4220  -0.02
Mn 0.5000 0.5000 0.2500  4.12
Ba 0.5000 0.5000 0.7500  0.01

- VASP energy: -13.23 eV for the cell shown


No. 5
## Hf4HgIr (PBE)

Data for crystalline Hf4HgIr at its relaxed geometry.

Unit cell a=5.4535 b=5.4535 c=5.8438 alpha=117.81 beta=117.81 gamma=90.00
Fractional positions:
Hf 0.5720 0.0719 0.1439
Hf 0.1890 0.1890 0.3780
Hf 0.9281 0.4280 0.8561
Hf 0.8110 0.8110 0.6220
Hg 0.2500 0.7500 0.5000
Ir 0.5000 0.5000 0.0000

- VASP energy: -48.24 eV for the cell shown


No. 6
## PuTh2Ir9 (PBE)

Data for crystalline PuTh2Ir9 at its relaxed geometry.

Unit cell a=5.3485 b=5.3485 c=9.4251 alpha=73.52 beta=73.52 gamma=60.00
Last column: magnetic moment on the atom in μB.
Fractional positions:
Ir 0.5000 0.5000 0.5000  -0.02
Ir 0.5814 0.5814 0.7560  -0.04
Ir 0.0812 0.5814 0.7560  -0.04
Ir 0.9188 0.4186 0.2440  -0.04
Ir 0.4186 0.9188 0.2440  -0.04
Ir 0.6669 0.6669 0.9992  -0.26
Ir 0.3331 0.3331 0.0008  -0.26
Ir 0.4186 0.4186 0.2440  -0.04
Ir 0.5814 0.0812 0.7560  -0.04
Pu 0.0000 0.0000 0.0000  4.95
Th 0.8624 0.8624 0.4128  0.04
Th 0.1376 0.1376 0.5872  0.04

- VASP energy: -115.73 eV for the cell shown


No. 7
## PrSm2ScAs4 (PBE)

Data for crystalline PrSm2ScAs4 at its relaxed geometry.

Unit cell a=4.1714 b=7.2041 c=7.2111 alpha=109.48 beta=90.00 gamma=90.00
Fractional positions:
As 0.5000 0.7650 0.7613
As 0.0000 0.2396 0.7529
As 0.0000 0.7604 0.2471
As 0.5000 0.2350 0.2387
Pr 0.5000 0.5000 0.0000
Sm 0.5000 0.0000 0.5000
Sm 0.0000 0.5000 0.5000
Sc 0.0000 0.0000 0.0000

- VASP energy: -50.66 eV for the cell shown


No. 8
## Cs3AuBr4 (PBE)

Data for crystalline Cs3AuBr4 at its relaxed geometry.

Unit cell a=5.5407 b=13.4740 c=10.8257 alpha=90.00 beta=90.00 gamma=90.00
Fractional positions:
Br 0.5644 0.8088 0.2773
Br 0.5645 0.1613 0.5000
Br 0.5644 0.5190 0.0000
Br 0.0645 0.8387 0.0000
Br 0.0644 0.4810 0.5000
Br 0.5644 0.8088 0.7227
Br 0.0644 0.1912 0.7773
Br 0.0644 0.1912 0.2227
Cs 0.5643 0.3620 0.7049
Cs 0.0645 0.0070 0.5000
Cs 0.5643 0.3620 0.2951
Cs 0.0643 0.6380 0.2049
Cs 0.0643 0.6380 0.7951
Cs 0.5645 0.9930 0.0000
Au 0.5645 0.8049 0.5000
Au 0.0645 0.1951 0.0000

- E_form (uncorrected): -1025 kJ/mol of formula units


No. 9
## Cr2Ag (PBE)

Data for crystalline Cr2Ag at its relaxed geometry.

Unit cell a=4.2656 b=4.2656 c=2.5971 alpha=90.00 beta=90.00 gamma=120.00
Fractional positions:
Cr 0.6667 0.3333 0.5012
Cr 0.3333 0.6667 0.4988
Ag 0.0000 0.0000 0.0000

- VASP energy: -20.11 eV for the cell shown


No. 10
## TaAl2VSe (PBE)

Data for crystalline TaAl2VSe at its relaxed geometry.

Unit cell a=5.1227 b=4.5560 c=5.1227 alpha=90.00 beta=90.00 gamma=90.00
Fractional positions:
Se 0.5000 0.5000 0.5000
Ta 0.0000 0.0000 0.0000
Al 0.5000 0.0000 0.0000
Al 0.0000 0.0000 0.5000
V 0.0000 0.5000 0.0000

- E_form (uncorrected): 531 kJ/mol of formula units


No. 11
## AcLa6DyHo2 (PBE)

Data for crystalline AcLa6DyHo2 at its relaxed geometry.

Unit cell a=9.9625 b=9.0997 c=9.0997 alpha=117.24 beta=93.84 gamma=93.84
Fractional positions:
Ac 0.7500 0.0260 0.9740
Ac 0.2500 0.9740 0.0260
La 0.6871 0.0034 0.5523
La 0.1210 0.7040 0.4904
La 0.9490 0.8868 0.2470
La 0.3790 0.5096 0.2960
La 0.0510 0.1132 0.7530
La 0.5510 0.7530 0.1132
La 0.4490 0.2470 0.8868
La 0.8790 0.2960 0.5096
La 0.8129 0.4477 0.9966
La 0.6210 0.4904 0.7040
La 0.1870 0.5523 0.0034
La 0.3130 0.9966 0.4477
Dy 0.2500 0.4114 0.5886
Dy 0.7500 0.5886 0.4114
Ho 0.9536 0.6958 0.7967
Ho 0.4536 0.7967 0.6958
Ho 0.5464 0.2033 0.3042
Ho 0.0464 0.3042 0.2033

- VASP energy: -92.68 eV for the cell shown


| no. | N(E_F) (states/eV per cell) |
| --- | --- |
| 1 | 5.99 |
| 2 | 6.13 |
| 3 | 5.43 |
| 4 | 4.33 |
| 5 | 5.53 |
| 6 | 17.28 |
| 7 | 0.59 |
| 8 | 0.00 |
| 9 | 1.81 |
| 10 | 6.55 |
| 11 | 30.45 |